DFT (PBE) results for crystalline ZnB2S at its relaxed geometry.

```
ZnB2S
1.0
-4.219 2.221 1.035
-2.257 -2.720 -3.363
-4.061 -3.174 1.754
Zn B S
2 4 2
Direct
0.000 0.000 0.000 Zn
0.750 0.250 0.500 Zn
0.588 0.125 0.250 B
0.162 0.625 0.250 B
0.375 0.412 0.750 B
0.875 0.838 0.750 B
0.500 0.500 0.000 S
0.250 0.750 0.500 S
```

Calculated values
V (Å³ per cell): 100.3
Space group: No. 122
Polymorph energy (0 for the lowest one) (eV/atom): 0.000
Theoretical density (g/cm³): 3.94
D(E_F) (states/eV/f.u.): 0.35

DFT (PBE) results for crystalline Zn2BS at its relaxed geometry.

```
Zn2BS
1.0
5.533 0.000 0.000
0.000 5.533 0.000
2.766 2.766 4.487
Zn B S
4 2 2
Direct
0.595 0.125 0.250 Zn
0.155 0.625 0.250 Zn
0.375 0.405 0.750 Zn
0.875 0.845 0.750 Zn
0.500 0.500 0.000 B
0.250 0.750 0.500 B
0.000 0.000 0.000 S
0.750 0.250 0.500 S
```

Calculated values
V (Å³ per cell): 137.4
Space group: No. 122
Polymorph energy (0 for the lowest one) (eV/atom): 0.000
Theoretical density (g/cm³): 4.20
D(E_F) (states/eV/f.u.): 0.94

DFT (PBE) results for crystalline Zr2BS at its relaxed geometry.

```
Zr2BS
1.0
3.545 0.000 0.000
1.773 3.070 0.000
1.773 1.023 6.093
S B Zr
1 1 2
Direct
0.500 0.500 0.500 S
0.000 0.000 0.000 B
0.262 0.262 0.213 Zr
0.738 0.738 0.787 Zr
```

Calculated values
V (Å³ per cell): 66.3
Space group: No. 166
Polymorph energy (0 for the lowest one) (eV/atom): 0.000
Theoretical density (g/cm³): 5.64
D(E_F) (states/eV/f.u.): 1.75

DFT (PBE) results for crystalline ZrBS2 at its relaxed geometry.

```
ZrBS2
1.0
5.583 0.000 0.000
0.000 5.583 0.000
2.792 2.792 4.092
S B Zr
4 2 2
Direct
0.529 0.125 0.250 S
0.221 0.625 0.250 S
0.375 0.471 0.750 S
0.875 0.779 0.750 S
0.500 0.500 0.000 B
0.250 0.750 0.500 B
0.000 0.000 0.000 Zr
0.750 0.250 0.500 Zr
```

Calculated values
V (Å³ per cell): 127.6
Space group: No. 122
Theoretical density (g/cm³): 4.33
D(E_F) (states/eV/f.u.): 2.28

DFT (PBE) results for crystalline ZrBS2 at its relaxed geometry.

```
ZrBS2
1.0
1.976 0.000 6.946
-0.988 1.711 6.946
-0.988 -1.711 6.946
S B Zr
2 1 1
Direct
0.917 0.917 0.917 S
0.083 0.083 0.083 S
0.000 0.000 0.000 B
0.500 0.500 0.500 Zr
```

Calculated values
V (Å³ per cell): 70.4
Space group: No. 166
Theoretical density (g/cm³): 3.92
D(E_F) (states/eV/f.u.): 5.19

DFT (PBE) results for crystalline ZrBS at its relaxed geometry.

```
ZrBS
1.0
-2.135 2.576 -1.668
-1.604 -1.185 4.413
5.656 4.743 0.085
S B Zr
2 2 2
Direct
0.217 0.435 0.211 S
0.783 0.565 0.789 S
0.452 0.904 0.381 B
0.548 0.096 0.619 B
0.085 0.170 0.826 Zr
0.915 0.830 0.174 Zr
```

Calculated values
V (Å³ per cell): 111.1
Space group: No. 12
Theoretical density (g/cm³): 4.01
D(E_F) (states/eV/f.u.): 1.18

DFT (PBE) results for crystalline Zr2BS at its relaxed geometry.

```
Zr2BS
1.0
-3.528 -1.428 4.041
0.363 -5.315 -1.561
2.660 -4.094 4.688
S B Zr
2 2 4
Direct
0.000 0.000 0.000 S
0.750 0.250 0.500 S
0.500 0.500 0.000 B
0.250 0.750 0.500 B
0.580 0.125 0.250 Zr
0.170 0.625 0.250 Zr
0.375 0.420 0.750 Zr
0.875 0.830 0.750 Zr
```

Calculated values
V (Å³ per cell): 169.9
Space group: No. 122
Polymorph energy (0 for the lowest one) (eV/atom): 0.687
Theoretical density (g/cm³): 4.40
D(E_F) (states/eV/f.u.): 1.93

DFT (PBE) results for crystalline Zr2BS at its relaxed geometry.

```
Zr2BS
1.0
0.000 3.145 3.145
3.145 0.000 3.145
3.145 3.145 0.000
S B Zr
1 1 2
Direct
0.500 0.500 0.500 S
0.000 0.000 0.000 B
0.250 0.250 0.250 Zr
0.750 0.750 0.750 Zr
```

Calculated values
V (Å³ per cell): 62.2
Space group: No. 225
Polymorph energy (0 for the lowest one) (eV/atom): 0.774
Theoretical density (g/cm³): 6.01
D(E_F) (states/eV/f.u.): 4.08

DFT (PBE) results for crystalline ZrBS2 at its relaxed geometry.

```
ZrBS2
1.0
-2.037 0.713 2.599
-1.308 -0.620 -3.052
1.351 -7.522 1.076
Zr B S
1 1 2
Direct
0.980 0.994 0.974 Zr
0.776 0.880 0.656 B
0.782 0.401 0.183 S
0.129 0.558 0.687 S
```

Calculated values
V (Å³ per cell): 74.0
Space group: No. 8
Theoretical density (g/cm³): 3.73
D(E_F) (states/eV/f.u.): 2.03

DFT (PBE) results for crystalline Zr2B2S at its relaxed geometry.

```
Zr2B2S
1.0
3.236 0.000 0.000
0.000 3.236 0.000
1.618 1.618 6.860
S B Zr
1 2 2
Direct
0.000 0.000 0.000 S
0.750 0.250 0.500 B
0.250 0.750 0.500 B
0.385 0.385 0.230 Zr
0.615 0.615 0.770 Zr
```

Calculated values
V (Å³ per cell): 71.8
Space group: No. 139
Polymorph energy (0 for the lowest one) (eV/atom): 0.280
Theoretical density (g/cm³): 5.46
D(E_F) (states/eV/f.u.): 2.07

DFT (PBE) results for crystalline ZrBS4 at its relaxed geometry.

```
ZrBS4
1.0
-0.777 -4.076 3.745
6.834 2.476 -0.058
-3.087 4.946 4.742
Zr B S
2 2 8
Direct
0.228 0.456 0.299 Zr
0.772 0.544 0.701 Zr
0.125 0.249 0.763 B
0.875 0.751 0.237 B
0.007 0.015 0.366 S
0.122 0.243 0.002 S
0.756 0.513 0.336 S
0.609 0.218 0.736 S
0.391 0.782 0.264 S
0.244 0.487 0.664 S
0.878 0.757 0.998 S
0.993 0.985 0.634 S
```

Calculated values
V (Å³ per cell): 277.2
Space group: No. 12
Theoretical density (g/cm³): 2.76

DFT (PBE) results for crystalline Zr2B2S at its relaxed geometry.

```
Zr2B2S
1.0
-6.341 -2.111 -0.736
0.799 -0.074 -6.676
1.062 -3.246 0.163
S B Zr
2 4 4
Direct
0.000 0.000 0.000 S
0.500 0.500 0.000 S
0.086 0.586 0.500 B
0.586 0.914 0.500 B
0.914 0.414 0.500 B
0.414 0.086 0.500 B
0.317 0.817 0.000 Zr
0.817 0.683 0.000 Zr
0.683 0.183 0.000 Zr
0.183 0.317 0.000 Zr
```

Calculated values
V (Å³ per cell): 154.6
Space group: No. 127
Polymorph energy (0 for the lowest one) (eV/atom): 0.000
Theoretical density (g/cm³): 5.07
D(E_F) (states/eV/f.u.): 1.98

Energy: -4.077, -2.934, -8.148, -6.141, -6.235, -6.864, -7.461, -7.374, -6.131, -7.225, -5.848, -7.505 (eV per atom)
ΔE_f (raw): 236, 156, -453, -105, -141, -119, -188, -154, -101, -149, -323, -284 (kJ/mol of formula units)